1.
Ba4LaZn at its PBEsol-relaxed geometry. Source: Alexandria via LeMat-Bulk, functional meta-GGA SCAN.

abc: 7.225 7.225 7.225
angles: 60.00 60.00 60.00
Fractional coordinates of all 6 atoms:
Ba 0.376 0.376 0.376
Ba 0.376 0.376 0.873
Ba 0.376 0.873 0.376
Ba 0.873 0.376 0.376
La 0.000 0.000 0.000
Zn 0.750 0.750 0.750

Space-group type: F-43m, No. 216
Energy of formation in meV per atom: 539.9
Calculated volume in Å³/atom: 44.45
Total energy in eV/atom: -35.264
N(E_F) in states/eV per atom: 1.263

=====

2.
BaLa2Zn at its PBEsol-relaxed geometry. Source: Alexandria via LeMat-Bulk, functional meta-GGA SCAN.

abc: 3.799 3.799 9.316
angles: 90.00 90.00 90.00
Fractional coordinates of all 4 atoms:
Ba 0.000 0.000 0.000
La 0.000 0.000 0.592
La 0.500 0.500 0.339
Zn 0.500 0.500 0.766

Space-group type: P4mm, No. 99
Energy of formation in meV per atom: -94.7
Calculated volume in Å³/atom: 33.62
Total energy in eV/atom: -34.914
N(E_F) in states/eV per atom: 1.203